# 1
VASP calculation (GGA-PBE) on a geometry-optimized BaInGa2Ni structure.

Structure (extended XYZ):
```
5
Lattice="4.853 0.000 0.000 0.000 4.853 0.000 0.000 0.000 5.046" Properties=species:S:1:pos:R:3 pbc="T T T"
Ni 0.000 0.000 0.000
Ba 2.427 2.427 2.523
Ga 0.000 2.427 0.000
Ga 2.427 0.000 0.000
In 0.000 0.000 2.523
```

Summary:
Spin magnetization in μB per cell: 0.000
SG: P4/mmm, No. 123
Energy of formation in eV/f.u.: -1.349

# 2
VASP calculation (GGA-PBE) on a geometry-optimized Sr3Cu2Ge4 structure.

Structure (extended XYZ):
```
9
Lattice="4.259 0.000 0.000 -2.129 5.895 -0.728 0.000 0.161 8.714" Properties=species:S:1:pos:R:3 pbc="T T T"
Sr 2.129 2.040 5.549
Sr 0.000 0.000 0.000
Sr 0.000 4.017 2.436
Cu 2.129 1.320 2.312
Cu 0.000 4.736 5.673
Ge 2.129 2.585 0.263
Ge 0.000 3.471 7.722
Ge 2.129 5.321 4.718
Ge 0.000 0.736 3.267
```

Summary:
Spin magnetization in μB per cell: 0.000
SG: C2/m, No. 12
Energy of formation in eV/f.u.: -4.530

# 3
VASP calculation (GGA-PBE) on a geometry-optimized PmZn4Pd7 structure.

Structure (extended XYZ):
```
12
Lattice="4.965 0.000 0.000 2.482 7.608 0.100 2.482 0.352 5.524" Properties=species:S:1:pos:R:3 pbc="T T T"
Pm 0.000 0.000 0.000
Zn 4.965 1.998 3.502
Zn 4.965 5.961 2.121
Zn 7.447 5.419 5.030
Zn 2.482 2.540 0.594
Pd 7.447 7.065 3.073
Pd 2.482 0.895 2.550
Pd 2.482 4.892 1.491
Pd 7.447 3.068 4.133
Pd 4.965 4.604 4.205
Pd 2.482 0.000 0.000
Pd 4.965 3.356 1.418
```

Summary:
Spin magnetization in μB per cell: 0.000
SG: C2/m, No. 12
Energy of formation in eV/f.u.: -3.963

# 4
VASP calculation (GGA-PBE) on a geometry-optimized Zr2ScPb structure.

Structure (extended XYZ):
```
8
Lattice="-4.923 -6.485 1.052 4.332 -4.192 -5.573 1.489 -6.346 -0.115" Properties=species:S:1:pos:R:3 pbc="T T T"
Pb 0.000 0.000 0.000
Pb -1.865 -9.085 -0.662
Sc -0.295 -5.339 -2.261
Sc 2.763 -7.939 -3.974
Zr -2.215 -6.232 -0.057
Zr 2.516 -4.949 -3.392
Zr 0.850 -8.719 -1.723
Zr 0.646 -14.147 -4.101
```

Summary:
Spin magnetization in μB per cell: 0.000
SG: I-42d, No. 122
Energy of formation in eV/f.u.: 1.056

# 5
VASP calculation (GGA-PBE) on a geometry-optimized CuSbRh3 structure.

Structure (extended XYZ):
```
10
Lattice="-4.173 -0.976 0.876 -0.272 -3.712 -5.430 1.829 -2.677 5.729" Properties=species:S:1:pos:R:3 pbc="T T T"
Cu 0.000 0.000 0.000
Cu -2.086 -0.488 0.438
Sb 0.085 -3.266 2.226
Sb -2.700 -4.099 -1.050
Rh -0.905 -3.754 -3.032
Rh -1.710 -3.611 4.208
Rh -0.146 -4.863 -0.657
Rh -2.469 -2.502 1.833
Rh -0.792 -2.216 -0.781
Rh -1.823 -5.150 1.957
```

Summary:
Spin magnetization in μB per cell: 0.000
Raw formation energy in meV per atom: 199
SG: P6_3/mmc, No. 194

# 6
VASP calculation (GGA-PBE) on a geometry-optimized PuThPaAg structure.

Structure (extended XYZ):
```
4
Lattice="-4.733 0.545 2.084 -4.090 -2.350 -2.188 -2.269 -4.024 2.386" Properties=species:S:1:pos:R:3 pbc="T T T"
Pa -8.319 -4.372 1.711
Ag -2.773 -1.457 0.570
Th -5.546 -2.915 1.141
Pu 0.000 0.000 0.000
```

Summary:
Spin magnetization in μB per cell: 6.310
SG: F-43m, No. 216
Energy of formation in eV/f.u.: 1.065

# 7
VASP calculation (GGA-PBE) on a geometry-optimized RbSnB structure.

Structure (extended XYZ):
```
3
Lattice="-2.021 -3.031 -1.583 1.971 -0.493 3.413 -4.798 1.630 3.005" Properties=species:S:1:pos:R:3 pbc="T T T"
B -0.691 -2.185 0.083
Sn 0.640 -1.339 1.748
Rb -2.399 0.815 1.503
```

Summary:
Spin magnetization in μB per cell: 0.000
SG: P-6m2, No. 187
Energy of formation in eV/f.u.: 1.043

# 8
VASP calculation (GGA-PBE) on a geometry-optimized RbSnGe2Cl structure.

Structure (extended XYZ):
```
5
Lattice="-3.551 2.707 -2.734 -4.158 -2.920 2.508 -0.211 3.578 3.817" Properties=species:S:1:pos:R:3 pbc="T T T"
Ge -0.105 1.789 1.908
Ge -1.775 1.354 -1.367
Sn -3.960 1.683 1.795
Rb -2.079 -1.460 1.254
Cl 0.000 0.000 0.000
```

Summary:
Spin magnetization in μB per cell: 0.000
Raw formation energy in meV per atom: 291
SG: P4/mmm, No. 123

# 9
VASP calculation (GGA-PBE) on a geometry-optimized WS2Cl5 structure.

Structure (extended XYZ):
```
8
Lattice="4.302 -0.030 2.208 2.231 7.710 0.788 -1.324 -0.333 7.893" Properties=species:S:1:pos:R:3 pbc="T T T"
W 5.051 7.345 10.804
S 4.138 4.347 6.062
S 0.824 3.019 4.720
Cl 3.088 0.043 4.187
Cl 0.704 5.061 8.664
Cl 4.189 2.282 2.057
Cl 1.807 7.298 6.534
Cl 2.901 7.361 9.700
```

Summary:
Spin magnetization in μB per cell: 3.013
Raw formation energy in meV per atom: -422
SG: P1, No. 1

# 10
VASP calculation (GGA-PBE) on a geometry-optimized Li2HgAsPd structure.

Structure (extended XYZ):
```
5
Lattice="-3.054 3.891 0.359 -2.269 -2.137 3.858 2.946 2.048 2.867" Properties=species:S:1:pos:R:3 pbc="T T T"
As 1.473 1.024 1.434
Hg -1.189 1.901 3.542
Pd 0.000 0.000 0.000
Li -1.135 -1.068 1.929
Li -1.527 1.946 0.179
```

Summary:
Spin magnetization in μB per cell: 0.000
SG: P4/mmm, No. 123
Energy of formation in eV/f.u.: -1.051